Entry from Alexandria via LeMat-Bulk: an optimized crystal structure of MgZrNi2 (GGA-PBE).

For the formation energy, the calculation gives -0.296 eV/atom.

It has space group P4/mmm (No. 123), with a = 3.1955 Å, b = 3.1955 Å, c = 6.2052 Å, α = 90.00°, β = 90.00° and γ = 90.00°. The inequivalent atoms are Mg at (0.0000, 0.0000, 0.0000), Zr at (0.0000, 0.0000, 0.5000) and Ni at (0.5000, 0.5000, 0.2593).

Entry from Alexandria via LeMat-Bulk: an optimized crystal structure of MgZrNi (GGA-PBE).

For the formation energy, the calculation gives -0.025 eV/atom.

It has space group P3m1 (No. 156), with a = 4.5156 Å, b = 4.5156 Å, c = 2.9650 Å, α = 90.00°, β = 90.00° and γ = 120.00°. The inequivalent atoms are Mg at (0.0000, 0.0000, 0.0000), Zr at (0.3333, 0.6667, 0.5235) and Ni at (0.6667, 0.3333, 0.1351).

Entry from Alexandria via LeMat-Bulk: an optimized crystal structure of Mg2ZrNi (GGA-PBE).

For the formation energy, the calculation gives 0.089 eV/atom.

It has space group R-3m (No. 166, hexagonal axes), with a = 3.0434 Å, b = 3.0434 Å, c = 28.0846 Å, α = 90.00°, β = 90.00° and γ = 120.00°. The inequivalent atoms are Mg at (0.0000, 0.0000, 0.2363), Zr at (0.0000, 0.0000, 0.0000) and Ni at (0.0000, 0.0000, 0.5000).

Entry from Alexandria via LeMat-Bulk: an optimized crystal structure of MgNp3 (GGA-PBE).

For the formation energy, the calculation gives 0.692 eV/atom.

It has space group Pm-3m (No. 221), with a = 4.5122 Å, b = 4.5122 Å, c = 4.5122 Å, α = 90.00°, β = 90.00° and γ = 90.00°. The inequivalent atoms are Mg at (0.0000, 0.0000, 0.0000) and Np at (0.0000, 0.5000, 0.5000).

Entry from Alexandria via LeMat-Bulk: an optimized crystal structure of MgNp3 (GGA-PBE).

For the formation energy, the calculation gives 0.679 eV/atom.

It has space group I4/mmm (No. 139), with a = 4.3700 Å, b = 4.3700 Å, c = 8.4891 Å, α = 90.00°, β = 90.00° and γ = 90.00°. The inequivalent atoms are Mg at (0.0000, 0.0000, 0.0000), Np at (0.0000, 0.0000, 0.5000) and Np at (0.0000, 0.5000, 0.2500).

Entry from Alexandria via LeMat-Bulk: an optimized crystal structure of Mg4Np (GGA-PBE).

For the formation energy, the calculation gives 1.478 eV/atom.

It has space group Pm-3m (No. 221), with a = 5.9852 Å, b = 5.9852 Å, c = 5.9852 Å, α = 90.00°, β = 90.00° and γ = 90.00°. The inequivalent atoms are Mg at (0.0000, 0.0000, 0.0000), Mg at (0.0000, 0.5000, 0.5000) and Np at (0.5000, 0.5000, 0.5000).

Entry from Alexandria via LeMat-Bulk: an optimized crystal structure of MgNp2O6 (GGA-PBE).

The calculation puts the formation energy from raw total energies at -2830 meV/atom.

It has space group Pnnm (No. 58), with a = 5.0964 Å, b = 5.5133 Å, c = 9.2596 Å, α = 90.00°, β = 90.00° and γ = 90.00°. The inequivalent atoms are Mg at (0.0000, 0.0000, 0.0000), Np at (0.0000, 0.5000, 0.1860), O at (0.1838, 0.3371, 0.0000) and O at (0.2224, 0.8284, 0.1693).

Entry from Alexandria via LeMat-Bulk: an optimized crystal structure of MgNpO4 (GGA-PBE).

The calculation puts the formation energy from raw total energies at -2274 meV/atom.

It has space group I-4 (No. 82), with a = 6.3602 Å, b = 6.3602 Å, c = 9.2788 Å, α = 90.00°, β = 90.00° and γ = 90.00°. The inequivalent atoms are Mg at (0.0000, 0.0000, 0.0000), Np at (0.0000, 0.5000, 0.2500) and O at (0.0015, 0.2525, 0.1233).

- Which formula does entry 8 have?
  MgNpO4